1.
NiIrOs (PBE, relaxed); DFT formation energy = 0.06 eV/atom; D(E_F) = 3.20 states/eV/f.u.; offset from the most stable computed form = 0.051 eV/atom
1.0
2.700 0.000 0.000
0.000 3.794 0.000
-0.003 0.000 7.870
Ni Ir Os
2 2 2
direct
0.248 0.250 0.080 Ni
0.752 0.750 0.920 Ni
0.251 0.250 0.758 Ir
0.749 0.750 0.242 Ir
0.250 0.250 0.411 Os
0.750 0.750 0.589 Os


2.
La2CeSm3Dy6 (PBE, relaxed); DFT formation energy = 0.03 eV/atom; D(E_F) = 19.48 states/eV/f.u.
1.0
3.123 -5.412 0.000
3.123 5.412 0.000
-2.083 0.000 11.646
La Ce Sm Dy
2 1 3 6
direct
0.166 0.834 0.000 La
0.834 0.166 0.000 La
0.500 0.500 0.000 Ce
0.000 0.000 0.500 Sm
0.333 0.667 0.500 Sm
0.667 0.333 0.500 Sm
0.086 0.417 0.749 Dy
0.253 0.253 0.251 Dy
0.417 0.086 0.749 Dy
0.583 0.914 0.251 Dy
0.747 0.747 0.749 Dy
0.914 0.583 0.251 Dy


3.
Ac2MoN4 (PBE, relaxed); D(E_F) = 0.00 states/eV/f.u.; offset from the most stable computed form = 0.000 eV/atom
1.0
6.110 0.000 0.000
0.000 6.072 0.000
-2.506 0.000 7.013
Ac Mo N
4 2 8
direct
0.188 0.250 0.021 Ac
0.282 0.250 0.561 Ac
0.718 0.750 0.439 Ac
0.812 0.750 0.979 Ac
0.249 0.750 0.797 Mo
0.751 0.250 0.203 Mo
0.046 0.508 0.733 N
0.046 0.992 0.733 N
0.415 0.750 0.058 N
0.460 0.750 0.662 N
0.540 0.250 0.338 N
0.585 0.250 0.942 N
0.954 0.008 0.267 N
0.954 0.492 0.267 N


| no. | total energy (eV for the cell shown) |
| --- | --- |
| 1 | -51.40 |
| 2 | -57.14 |
| 3 | -118.60 |